MnH2O | the Alexandria database | GGA+U | relaxed; relative energy among the computed polymorphs = 0 kJ/mol of formula units; symmetry = Fm-3m (225); Fermi-level density of states = 1.48 states/eV per cell; total energy = -18.17 eV for the cell shown; total magnetization = 3.76 μB per cell; theoretical density = 4.3 g cm⁻³
1.0
-3.238 -0.935 -0.592
-2.510 1.155 2.019
-2.248 2.284 -1.201
H Mn O
2 1 1
direct
0.750 0.750 0.750 H
0.250 0.250 0.250 H
0.500 0.500 0.500 Mn
0.000 0.000 0.000 O